(1)
BeCoTe2I: optimized geometry, PBE.

Computed properties:
Formation energy from raw total energies ... 0.836 eV/atom
Total energy ... -2.897 eV per atom
Crystal system ... tetragonal
Calculated volume ... 134.0 Å³/cell
Space-group type ... P4/mmm
Energy above the lowest structure with this stoichiometry ... 0.0 meV per atom

abc: 4.970 4.970 5.426
angles: 90.00 90.00 90.00
Atoms (fractional coordinates):
Be1 0.500 0.500 0.500
I1 0.000 0.000 0.500
Te1 0.000 0.500 0.000
Te2 0.500 0.000 0.000
Co1 0.000 0.000 0.000


(2)
BeCoW2I: optimized geometry, PBE.

Computed properties:
Formation energy from raw total energies ... 1.294 eV/atom
Total energy ... -6.363 eV per atom
Crystal system ... tetragonal
Calculated volume ... 84.1 Å³/cell
Space-group type ... P4/mmm

abc: 4.633 3.918 4.633
angles: 90.00 90.00 90.00
Atoms (fractional coordinates):
W1 0.500 0.000 0.000
W2 0.000 0.000 0.500
Be1 0.000 0.500 0.000
I1 0.500 0.500 0.500
Co1 0.000 0.000 0.000


(3)
ZrBeCoI2: optimized geometry, PBE.

Computed properties:
Formation energy from raw total energies ... 0.797 eV/atom
Total energy ... -3.699 eV per atom
Crystal system ... tetragonal
Calculated volume ... 101.9 Å³/cell
Space-group type ... P4/mmm

abc: 5.071 3.962 5.071
angles: 90.00 90.00 90.00
Atoms (fractional coordinates):
I1 0.500 0.000 0.000
Zr1 0.500 0.500 0.500
Co1 0.000 0.500 0.000
Be1 0.000 0.000 0.000
I2 0.000 0.000 0.500


(4)
Be2InCo: optimized geometry, PBE.

Computed properties:
Total energy ... -4.068 eV per atom
Crystal system ... monoclinic
Formation energy from the elements ... 0.257 eV/atom
Calculated volume ... 51.1 Å³/cell
Space-group type ... P2/m

abc: 3.821 2.746 4.877
angles: 93.92 90.00 90.00
Atoms (fractional coordinates):
Be1 0.000 0.549 0.420
Be2 0.000 0.951 0.080
Co1 0.500 0.250 0.250
In1 0.500 0.750 0.750


(5)
BeIn4Co: optimized geometry, PBE.

Computed properties:
Total energy ... -2.679 eV per atom
Crystal system ... cubic
Formation energy from the elements ... 0.951 eV/atom
Calculated volume ... 141.0 Å³/cell
Space-group type ... F-43m

abc: 5.842 5.842 5.842
angles: 60.00 60.00 60.00
Atoms (fractional coordinates):
In1 0.375 0.375 0.875
Be1 0.750 0.750 0.750
Co1 0.000 0.000 0.000
In2 0.375 0.875 0.375
In3 0.375 0.375 0.375
In4 0.875 0.375 0.375


(6)
Be2InCo: optimized geometry, PBE.

Computed properties:
Total energy ... -4.109 eV per atom
Crystal system ... tetragonal
Formation energy from the elements ... 0.215 eV/atom
Calculated volume ... 48.0 Å³/cell
Space-group type ... P4/mmm

abc: 3.719 3.719 3.472
angles: 90.00 90.00 90.00
Atoms (fractional coordinates):
Be1 0.000 0.000 0.000
Co1 0.500 0.000 0.500
In1 0.000 0.500 0.500
Be2 0.500 0.500 0.000